The following is a DFT calculation (PBE-GGA) of a relaxed LiNdFeC crystal.

```
LiNdFeC
1.0
3.468 0.000 0.000
0.000 3.468 0.000
0.000 0.000 10.934
Li Nd Fe C
2 2 2 2
direct
0.250 0.750 0.500
0.750 0.250 0.500
0.750 0.750 0.219
0.250 0.250 0.781
0.750 0.250 0.000
0.250 0.750 0.000
0.750 0.750 0.914
0.250 0.250 0.086
```

## Properties
symmetry	P4/nmm
energy of formation	-0.059	eV/atom